# ZnHgBr4

A relaxed ZnHgBr4 crystal (PBE, Alexandria via LeMat-Bulk).

Offset from the most stable computed form (kJ/mol of formula units): 677
Symmetry: No. 216

Cell: 6.389 6.389 6.389 Å, 60.00 60.00 60.00°
Each line ends with the local moment (μB).
Fractional coordinates of all 6 atoms:
Zn 0.000 0.000 0.000  0.29
Hg 0.750 0.750 0.750  0.11
Br 0.875 0.375 0.375  0.27
Br 0.375 0.375 0.875  0.27
Br 0.375 0.875 0.375  0.27
Br 0.375 0.375 0.375  0.27